{"formula": "ErInRh", "functional": "GGA-PBE", "state": "relaxed", "lattice": [[-3.7697, -2.2139, 1.5518], [-0.9579, -4.2828, -1.5032], [0.4512, -3.6194, 2.8665]], "species": ["In", "Rh", "Er"], "fractional_positions": [[0.5000, 0.5000, 0.5000], [0.2500, 0.2500, 0.2500], [0.0000, 0.0000, 0.0000]], "delta_e_f_ev_per_fu": -1.89, "space_group": "F-43m (216)"}

=====

{"formula": "Er5InRh4", "functional": "GGA-PBE", "state": "relaxed", "lattice": [[-2.7005, -1.9525, -0.8667], [1.4463, -2.6992, 1.5744], [-8.0267, 4.4454, 14.9948]], "species": ["Er", "Er", "Er", "Er", "Er", "In", "Rh", "Rh", "Rh", "Rh"], "fractional_positions": [[0.5000, 0.5000, 0.1215], [0.5000, 0.5000, 0.3100], [0.5000, 0.5000, 0.5000], [0.5000, 0.5000, 0.6900], [0.5000, 0.5000, 0.8785], [0.0000, 0.0000, 0.0000], [0.0000, 0.0000, 0.2133], [0.0000, 0.0000, 0.4052], [0.0000, 0.0000, 0.5948], [0.0000, 0.0000, 0.7867]], "delta_e_f_ev_per_fu": -8.39, "space_group": "P4/mmm (123)"}

=====

{"formula": "ErInRh", "functional": "GGA-PBE", "state": "relaxed", "lattice": [[7.5263, 0.0000, 0.0000], [-3.7631, 6.5180, 0.0000], [0.0000, 0.0000, 3.8619]], "species": ["Er", "Er", "Er", "In", "In", "In", "Rh", "Rh", "Rh"], "fractional_positions": [[0.0000, 0.5962, 0.5000], [0.4038, 0.4038, 0.5000], [0.5962, 0.0000, 0.5000], [0.2596, 0.0000, 0.0000], [0.7404, 0.7404, 0.0000], [0.0000, 0.2596, 0.0000], [0.6667, 0.3333, 0.0000], [0.3333, 0.6667, 0.0000], [0.0000, 0.0000, 0.5000]], "delta_e_f_ev_per_fu": -2.29, "space_group": "P-62m (189)"}